Record 1
Computed, not measured: a relaxed CaPbW2Cl crystal at the GGA-PBEsol level of DFT.

Summary:
Its total magnetization is 2.3 μB/f.u. The formation energy from raw total energies comes out at 2763 meV/atom.

Cell: 4.730 4.730 5.801 Å, 90.00 90.00 90.00°
Last column: magnetic moment on the atom in μB.
Fractional coordinates of all 5 atoms:
1 W 0.000 0.500 0.000  0.89
2 Ca 0.000 0.000 0.000  -0.01
3 W 0.500 0.000 0.000  0.89
4 Pb 0.000 0.000 0.500  -0.06
5 Cl 0.500 0.500 0.500  0.11

***

Record 2
Computed, not measured: a relaxed CaPdCl2 crystal at the GGA-PBEsol level of DFT.

Summary:
Its total magnetization is 0.0 μB/f.u. The formation energy from raw total energies comes out at -1181 meV/atom. The calculation puts the offset from the most stable computed form at 0.10 eV per formula unit.

Cell: 4.812 4.812 8.477 Å, 106.49 106.49 90.00°
Fractional coordinates of all 8 atoms:
1 Cl 0.625 0.651 0.750
2 Cl 0.125 0.099 0.750
3 Cl 0.901 0.375 0.250
4 Pd 0.000 0.000 0.000
5 Pd 0.250 0.750 0.500
6 Ca 0.500 0.500 0.000
7 Ca 0.750 0.250 0.500
8 Cl 0.349 0.875 0.250

***

Record 3
Computed, not measured: a relaxed CaPdCl2 crystal at the GGA-PBEsol level of DFT.

Summary:
Its total magnetization is 0.0 μB/f.u. The formation energy from raw total energies comes out at -1205 meV/atom. The calculation puts the offset from the most stable computed form at 0.00 eV per formula unit.

Cell: 4.705 4.705 4.705 Å, 60.00 60.00 60.00°
Fractional coordinates of all 4 atoms:
1 Cl 0.750 0.750 0.750
2 Ca 0.000 0.000 0.000
3 Pd 0.500 0.500 0.500
4 Cl 0.250 0.250 0.250